Ta2CrAg after structural relaxation, computed with PBE-GGA.

Cell lengths 3.8970, 3.8970, 9.8746 Å; angles 78.62, 78.62, 90.00 degrees
Atoms (fractional coordinates):
Ag  0.0000  0.0000  0.0000
Ag  0.7500  0.2500  0.5000
Cr  0.2500  0.7500  0.5000
Cr  0.5000  0.5000  0.0000
Ta  0.1372  0.6250  0.2500
Ta  0.6128  0.1250  0.2500
Ta  0.8750  0.8628  0.7500
Ta  0.3750  0.3872  0.7500

The value obtained for the total energy is -8.0438 eV per atom. The value obtained for the formation energy is 1.00 eV per atom. The density is 12.03 Mg/m³. The value obtained for the energy above the most stable polymorph in this dataset is 3.168 eV per formula unit.